VASP calculation (PBE) on AcTePbO after structural relaxation.

Values from the calculation:
* total magnetization: 0.000 μB per formula unit
* crystal system: tetragonal
* uncorrected formation energy: -1.8184 eV/atom
* space group: P4/nmm (129)

Lattice parameters (Å, degrees): 4.4139 4.4139 11.7206 90.00 90.00 90.00
Sites, in units of the cell vectors:
Pb: 0.2500 0.7500 0.5000
Pb: 0.7500 0.2500 0.5000
Ac: 0.2500 0.2500 0.1023
Ac: 0.7500 0.7500 0.8977
Te: 0.2500 0.2500 0.7310
Te: 0.7500 0.7500 0.2690
O: 0.7500 0.2500 0.0000
O: 0.2500 0.7500 0.0000

VASP calculation (PBE) on AcTe2PbO after structural relaxation.

Values from the calculation:
* total magnetization: 0.000 μB per formula unit
* crystal system: tetragonal
* uncorrected formation energy: -1.5195 eV/atom
* space group: P4/nmm (129)

Lattice parameters (Å, degrees): 4.3169 4.3169 16.9513 90.00 90.00 90.00
Sites, in units of the cell vectors:
O: 0.0000 0.0000 0.5000
O: 0.5000 0.5000 0.5000
Ac: 0.0000 0.5000 0.4260
Ac: 0.5000 0.0000 0.5740
Te: 0.5000 0.0000 0.9146
Te: 0.0000 0.5000 0.6859
Te: 0.5000 0.0000 0.3141
Te: 0.0000 0.5000 0.0854
Pb: 0.0000 0.5000 0.8616
Pb: 0.5000 0.0000 0.1384

VASP calculation (PBE) on Ac4TlPbO after structural relaxation.

Values from the calculation:
* total magnetization: 0.001 μB per formula unit
* crystal system: orthorhombic
* uncorrected formation energy: -1.0308 eV/atom
* space group: Cmcm (63)

Lattice parameters (Å, degrees): 7.2015 7.1862 9.9694 90.00 111.17 90.00
Sites, in units of the cell vectors:
Ac: 0.9360 0.2500 0.8720
Ac: 0.0640 0.7500 0.1280
Ac: 0.5780 0.2500 0.1561
Ac: 0.5000 0.0000 0.5000
Ac: 0.0000 0.0000 0.5000
Ac: 0.5000 0.5000 0.5000
Ac: 0.4220 0.7500 0.8439
Ac: 0.0000 0.5000 0.5000
O: 0.7114 0.2500 0.4228
O: 0.2886 0.7500 0.5772
Pb: 0.3882 0.2500 0.7764
Pb: 0.6118 0.7500 0.2236
Tl: 0.8843 0.7500 0.7685
Tl: 0.1157 0.2500 0.2315

VASP calculation (PBE) on Ac2Tl2PbO2 after structural relaxation.

Values from the calculation:
* total magnetization: 0.000 μB per formula unit
* crystal system: trigonal
* uncorrected formation energy: -1.5028 eV/atom
* space group: P-3m1 (164)

Lattice parameters (Å, degrees): 4.0763 4.0763 14.8243 90.00 90.00 120.00
Sites, in units of the cell vectors:
Ac: 0.6667 0.3333 0.3893
Ac: 0.3333 0.6667 0.6107
Tl: 0.0000 0.0000 0.7984
Tl: 0.0000 0.0000 0.2016
O: 0.3333 0.6667 0.4374
O: 0.6667 0.3333 0.5626
Pb: 0.0000 0.0000 0.0000

VASP calculation (PBE) on Ac2TmPbO6 after structural relaxation.

Values from the calculation:
* total magnetization: 0.002 μB per formula unit
* crystal system: monoclinic
* uncorrected formation energy: -2.7801 eV/atom
* space group: P2_1/c (14)

Lattice parameters (Å, degrees): 6.0436 6.2888 8.7465 90.00 90.21 90.00
Sites, in units of the cell vectors:
O: 0.6878 0.2911 0.9282
O: 0.8122 0.7911 0.5718
O: 0.2041 0.1887 0.0621
O: 0.3747 0.9420 0.7611
O: 0.8747 0.5580 0.2611
O: 0.1878 0.2089 0.4282
O: 0.1253 0.4420 0.7389
O: 0.7041 0.3113 0.5621
O: 0.7959 0.8113 0.9379
O: 0.6253 0.0580 0.2389
O: 0.2959 0.6887 0.4379
O: 0.3122 0.7089 0.0718
Pb: 0.5000 0.0000 0.5000
Pb: 0.0000 0.5000 0.0000
Tm: 0.0000 0.5000 0.5000
Tm: 0.5000 0.0000 0.0000
Ac: 0.9831 0.0543 0.7521
Ac: 0.0169 0.9457 0.2479
Ac: 0.4831 0.4457 0.2521
Ac: 0.5169 0.5543 0.7479

VASP calculation (PBE) on Ac2TmPb2O2 after structural relaxation.

Values from the calculation:
* total magnetization: 0.000 μB per formula unit
* crystal system: tetragonal
* uncorrected formation energy: -1.7063 eV/atom
* space group: I4/mmm (139)

Lattice parameters (Å, degrees): 4.4799 4.4799 9.2328 104.04 104.04 90.00
Sites, in units of the cell vectors:
O: 0.0000 0.5000 0.0000
O: 0.5000 0.0000 0.0000
Ac: 0.3911 0.3911 0.7822
Ac: 0.6089 0.6089 0.2178
Pb: 0.1991 0.1991 0.3981
Pb: 0.8009 0.8009 0.6019
Tm: 0.0000 0.0000 0.0000

VASP calculation (PBE) on AcTmPb2O8 after structural relaxation.

Values from the calculation:
* total magnetization: 2.059 μB per formula unit
* crystal system: tetragonal
* uncorrected formation energy: -1.7249 eV/atom
* space group: I-4 (82)

Lattice parameters (Å, degrees): 5.5781 5.5781 6.9523 113.65 113.65 90.00
Sites, in units of the cell vectors:
O: 0.4193 0.3421 0.2050
O: 0.1372 0.5807 0.7950
O: 0.6579 0.2144 0.7950
O: 0.7856 0.8628 0.2050
O: 0.9442 0.4053 0.3189
O: 0.5947 0.6253 0.6811
O: 0.3747 0.9137 0.3189
O: 0.0863 0.0558 0.6811
Pb: 0.5000 0.5000 0.0000
Pb: 0.2500 0.7500 0.5000
Tm: 0.7500 0.2500 0.5000
Ac: 0.0000 0.0000 0.0000

VASP calculation (PBE) on AcUPb2O6 after structural relaxation.

Values from the calculation:
* total magnetization: 1.000 μB per formula unit
* crystal system: monoclinic
* uncorrected formation energy: -2.4319 eV/atom
* space group: P2_1/c (14)

Lattice parameters (Å, degrees): 6.0994 6.4466 8.8811 90.00 89.36 90.00
Sites, in units of the cell vectors:
O: 0.1998 0.1675 0.4494
O: 0.3002 0.6675 0.0506
O: 0.6606 0.2860 0.5652
O: 0.6216 0.0448 0.2691
O: 0.3784 0.9552 0.7309
O: 0.8784 0.5448 0.2309
O: 0.8002 0.8325 0.5506
O: 0.8394 0.7860 0.9348
O: 0.1216 0.4552 0.7691
O: 0.1606 0.2140 0.0652
O: 0.6998 0.3325 0.9494
O: 0.3394 0.7140 0.4348
Ac: 0.5000 0.0000 0.0000
Ac: 0.0000 0.5000 0.5000
Pb: 0.9928 0.0302 0.7432
Pb: 0.4928 0.4698 0.2432
Pb: 0.0072 0.9698 0.2568
Pb: 0.5072 0.5302 0.7568
U: 0.0000 0.5000 0.0000
U: 0.5000 0.0000 0.5000

VASP calculation (PBE) on Ac2UPbO8 after structural relaxation.

Values from the calculation:
* total magnetization: 0.000 μB per formula unit
* crystal system: triclinic
* uncorrected formation energy: -2.6750 eV/atom
* space group: P-1 (2)

Lattice parameters (Å, degrees): 4.1516 5.7068 8.1942 84.16 91.21 96.11
Sites, in units of the cell vectors:
O: 0.0395 0.8011 0.7473
O: 0.9445 0.2547 0.8153
O: 0.0555 0.7453 0.1847
O: 0.4265 0.2149 0.0175
O: 0.4134 0.2435 0.5266
O: 0.9605 0.1989 0.2527
O: 0.5735 0.7851 0.9825
O: 0.5866 0.7565 0.4734
Ac: 0.4859 0.5190 0.7527
Ac: 0.5141 0.4810 0.2473
Pb: 0.0000 0.0000 0.5000
U: 0.0000 0.0000 0.0000

VASP calculation (PBE) on AcUPbO6 after structural relaxation.

Values from the calculation:
* total magnetization: 0.001 μB per formula unit
* crystal system: trigonal
* uncorrected formation energy: -2.5608 eV/atom
* space group: P-31c (163)

Lattice parameters (Å, degrees): 5.8837 5.8837 10.5836 90.00 90.00 120.00
Sites, in units of the cell vectors:
U: 0.3333 0.6667 0.7500
U: 0.6667 0.3333 0.2500
O: 0.6292 0.6635 0.6387
O: 0.3708 0.3365 0.3613
O: 0.6635 0.6292 0.1387
O: 0.6635 0.0342 0.3613
O: 0.0342 0.3708 0.6387
O: 0.3365 0.9658 0.6387
O: 0.3365 0.3708 0.8613
O: 0.3708 0.0342 0.1387
O: 0.6292 0.9658 0.8613
O: 0.9658 0.3365 0.1387
O: 0.0342 0.6635 0.8613
O: 0.9658 0.6292 0.3613
Ac: 0.0000 0.0000 0.5000
Ac: 0.0000 0.0000 0.0000
Pb: 0.3333 0.6667 0.2500
Pb: 0.6667 0.3333 0.7500

VASP calculation (PBE) on AcUPb2O8 after structural relaxation.

Values from the calculation:
* total magnetization: 0.000 μB per formula unit
* crystal system: orthorhombic
* uncorrected formation energy: -2.1331 eV/atom
* space group: Cmmm (65)

Lattice parameters (Å, degrees): 5.2668 5.2665 7.2785 90.00 90.00 89.31
Sites, in units of the cell vectors:
O: 0.3235 0.3229 0.5000
O: 0.2983 0.2979 0.0000
O: 0.6765 0.6771 0.5000
O: 0.8172 0.1832 0.2100
O: 0.1828 0.8168 0.2100
O: 0.8172 0.1832 0.7900
O: 0.7017 0.7021 0.0000
O: 0.1828 0.8168 0.7900
Ac: 0.0000 0.0000 0.5000
Pb: 0.5000 0.5000 0.2444
Pb: 0.5000 0.5000 0.7556
U: 0.0000 0.0000 0.0000

- What is the formula in the first record?
  AcTePbO